Crystalline NdCdI6 at its relaxed geometry, computed with PBE-GGA.

Structure (extended XYZ):
```
8
Lattice="-2.1141 0.4380 -7.3095 -0.4130 -6.3258 -4.2203 -7.2687 -2.8351 -2.0228" Properties=species:S:1:pos:R:3 pbc="T T T"
Nd -4.8979 -4.3614 -6.7763
Cd 0.0000 0.0000 0.0000
I -5.7761 -4.7723 -3.7980
I -7.1143 -2.2279 -7.3404
I -3.1211 -1.9884 -5.7616
I -2.6815 -6.4950 -6.2122
I -4.0198 -3.9506 -9.7546
I -6.6747 -6.7345 -7.7910
```

Calculated values
* M_tot: 0.0 Bohr magnetons per cell
* space group: P-1
* ΔE_f (raw): -0.764 eV per atom
* volume: 339 Å³ per cell
* final energy: -21.09 eV/cell